DFT (PBE) results for a relaxed TlBI2 crystal.

a = 7.025 Å, b = 7.025 Å, c = 13.277 Å
α = 90.00°, β = 90.00°, γ = 90.00°
Space group I-42d (No. 122)
Unique sites:
Tl 0.000 0.000 0.000 (multiplicity 4)
B 0.000 0.000 0.500 (multiplicity 4)
I 0.127 0.250 0.625 (multiplicity 8)

Calculated values
theoretical density	4.8	g cm⁻³
E_form (uncorrected)	0.570	eV per atom
raw total energy	-2.47	eV/atom
volume	41.0	Å³ per atom

---

DFT (PBE) results for a relaxed GaPt2I crystal.

a = 6.698 Å, b = 6.698 Å, c = 6.698 Å
α = 90.00°, β = 90.00°, γ = 90.00°
Space group Fm-3m (No. 225)
Unique sites:
Ga 0.000 0.000 0.000 (multiplicity 4)
Pt 0.250 0.250 0.250 (multiplicity 8)
I 0.000 0.000 0.500 (multiplicity 4)

Calculated values
theoretical density	13.0	g cm⁻³
E_form (uncorrected)	0.298	eV per atom
raw total energy	-3.87	eV/atom
volume	18.8	Å³ per atom

---

DFT (PBE) results for a relaxed YTmP2Ir5 crystal.

a = 4.004 Å, b = 4.004 Å, c = 10.992 Å
α = 90.00°, β = 90.00°, γ = 90.00°
Space group P4/mmm (No. 123)
Unique sites:
Y 0.000 0.000 0.000 (multiplicity 1)
Tm 0.000 0.000 0.500 (multiplicity 1)
P 0.500 0.500 0.207 (multiplicity 2)
Ir 0.000 0.500 0.306 (multiplicity 4)
Ir 0.500 0.500 0.000 (multiplicity 1)

Calculated values
theoretical density	12.1	g cm⁻³
raw total energy	-7.95	eV/atom
formation enthalpy at 0 K	-0.61	eV/atom
volume	19.6	Å³ per atom